(1)
{
  "formula": "CaTl2ZnBr6",
  "functional": "PBE",
  "state": "optimized geometry",
  "spacegroup": "R3",
  "lattice": [[3.868, 2.233, 6.257], [-3.868, 2.233, 6.257], [0.000, -4.467, 6.257]],
  "species": ["Ca", "Tl", "Tl", "Zn", "Br", "Br", "Br", "Br", "Br", "Br"],
  "frac_coords": [[0.000, 0.000, 0.000], [0.272, 0.272, 0.272], [0.769, 0.769, 0.769], [0.500, 0.500, 0.500], [0.188, 0.726, 0.330], [0.255, 0.667, 0.805], [0.330, 0.188, 0.726], [0.667, 0.805, 0.255], [0.726, 0.330, 0.188], [0.805, 0.255, 0.667]]
}


(2)
{
  "formula": "Ca2TmBr",
  "functional": "PBE",
  "state": "optimized geometry",
  "spacegroup": "R-3m",
  "lattice": [[1.892, 1.092, 10.404], [-1.892, 1.092, 10.404], [0.000, -2.185, 10.404]],
  "species": ["Ca", "Ca", "Tm", "Br"],
  "frac_coords": [[0.240, 0.240, 0.240], [0.760, 0.760, 0.760], [0.000, 0.000, 0.000], [0.500, 0.500, 0.500]]
}


(3)
{
  "formula": "CaTmBr6",
  "functional": "PBE",
  "state": "optimized geometry",
  "spacegroup": "P-1",
  "lattice": [[7.093, 0.000, 0.000], [3.545, 6.147, 0.000], [3.466, 2.020, 6.257]],
  "species": ["Ca", "Tm", "Br", "Br", "Br", "Br", "Br", "Br"],
  "frac_coords": [[0.000, 0.000, 0.000], [0.500, 0.500, 0.500], [0.087, 0.739, 0.742], [0.270, 0.567, 0.247], [0.427, 0.091, 0.748], [0.573, 0.909, 0.252], [0.730, 0.433, 0.753], [0.913, 0.261, 0.258]]
}


(4)
{
  "formula": "CaUBr2",
  "functional": "PBE",
  "state": "optimized geometry",
  "spacegroup": "R-3m",
  "lattice": [[1.839, 1.062, 9.994], [-1.839, 1.062, 9.994], [0.000, -2.124, 9.994]],
  "species": ["Ca", "U", "Br", "Br"],
  "frac_coords": [[0.000, 0.000, 0.000], [0.500, 0.500, 0.500], [0.398, 0.398, 0.398], [0.602, 0.602, 0.602]]
}


(5)
{
  "formula": "CaUBr6",
  "functional": "PBE",
  "state": "optimized geometry",
  "relative_energy_ev_per_atom": 0.000,
  "spacegroup": "C2/m",
  "lattice": [[3.554, -6.594, 0.000], [3.554, 6.594, 0.000], [-2.083, 0.000, 6.802]],
  "species": ["Ca", "U", "Br", "Br", "Br", "Br", "Br", "Br"],
  "frac_coords": [[0.000, 0.000, 0.000], [0.500, 0.500, 0.500], [0.115, 0.407, 0.258], [0.256, 0.256, 0.742], [0.407, 0.115, 0.258], [0.593, 0.885, 0.742], [0.744, 0.744, 0.258], [0.885, 0.593, 0.742]]
}


(6)
{
  "formula": "CaV2Br",
  "functional": "PBE",
  "state": "optimized geometry",
  "relative_energy_ev_per_atom": 0.403,
  "spacegroup": "Fm-3m",
  "lattice": [[0.000, 3.640, 3.640], [3.640, 0.000, 3.640], [3.640, 3.640, 0.000]],
  "species": ["Ca", "V", "V", "Br"],
  "frac_coords": [[0.000, 0.000, 0.000], [0.250, 0.250, 0.250], [0.750, 0.750, 0.750], [0.500, 0.500, 0.500]]
}


(7)
{
  "formula": "CaV2Br",
  "functional": "PBE",
  "state": "optimized geometry",
  "relative_energy_ev_per_atom": 0.000,
  "spacegroup": "I-42d",
  "lattice": [[-1.978, 1.978, 11.226], [1.978, -1.978, 11.226], [1.978, 1.978, -11.226]],
  "species": ["Ca", "Ca", "V", "V", "V", "V", "Br", "Br"],
  "frac_coords": [[0.000, 0.000, 0.000], [0.750, 0.250, 0.500], [0.263, 0.625, 0.138], [0.375, 0.513, 0.638], [0.487, 0.125, 0.862], [0.875, 0.737, 0.362], [0.250, 0.750, 0.500], [0.500, 0.500, 0.000]]
}


(8)
{
  "formula": "CaVBr4",
  "functional": "PBE",
  "state": "optimized geometry",
  "spacegroup": "C2/m",
  "lattice": [[7.393, -2.016, 0.000], [7.393, 2.016, 0.000], [-2.339, 0.000, 6.563]],
  "species": ["Ca", "V", "Br", "Br", "Br", "Br"],
  "frac_coords": [[0.000, 0.000, 0.000], [0.500, 0.500, 0.500], [0.106, 0.106, 0.435], [0.387, 0.387, 0.111], [0.613, 0.613, 0.889], [0.894, 0.894, 0.565]]
}


(9)
{
  "formula": "Ca2VBr",
  "functional": "PBE",
  "state": "optimized geometry",
  "relative_energy_ev_per_atom": 0.000,
  "spacegroup": "I-42d",
  "lattice": [[-4.107, 4.107, 3.849], [4.107, -4.107, 3.849], [4.107, 4.107, -3.849]],
  "species": ["Ca", "Ca", "Ca", "Ca", "V", "V", "Br", "Br"],
  "frac_coords": [[0.101, 0.625, 0.976], [0.375, 0.351, 0.476], [0.649, 0.125, 0.024], [0.875, 0.899, 0.524], [0.250, 0.750, 0.500], [0.500, 0.500, 0.000], [0.000, 0.000, 0.000], [0.750, 0.250, 0.500]]
}


(10)
{
  "formula": "Ca2VBr",
  "functional": "PBE",
  "state": "optimized geometry",
  "relative_energy_ev_per_atom": 0.057,
  "spacegroup": "Fm-3m",
  "lattice": [[0.000, 3.883, 3.883], [3.883, 0.000, 3.883], [3.883, 3.883, 0.000]],
  "species": ["Ca", "Ca", "V", "Br"],
  "frac_coords": [[0.250, 0.250, 0.250], [0.750, 0.750, 0.750], [0.000, 0.000, 0.000], [0.500, 0.500, 0.500]]
}


(11)
{
  "formula": "CaW2Br",
  "functional": "PBE",
  "state": "optimized geometry",
  "relative_energy_ev_per_atom": 0.299,
  "spacegroup": "C2/m",
  "lattice": [[6.268, -1.652, 0.000], [6.268, 1.652, 0.000], [-1.206, 0.000, 4.087]],
  "species": ["Ca", "W", "W", "Br"],
  "frac_coords": [[0.000, 0.000, 0.000], [0.273, 0.273, 0.239], [0.727, 0.727, 0.761], [0.500, 0.500, 0.500]]
}


(12)
{
  "formula": "CaW2Br",
  "functional": "PBE",
  "state": "optimized geometry",
  "relative_energy_ev_per_atom": 0.000,
  "spacegroup": "Amm2",
  "lattice": [[3.280, 0.000, 0.000], [0.000, 1.705, 7.896], [0.000, -1.705, 7.896]],
  "species": ["Ca", "W", "W", "Br"],
  "frac_coords": [[0.000, 0.000, 0.000], [0.000, 0.785, 0.785], [0.500, 0.356, 0.356], [0.500, 0.629, 0.629]]
}


(13)
{
  "formula": "CaW2Br",
  "functional": "PBE",
  "state": "optimized geometry",
  "relative_energy_ev_per_atom": 0.639,
  "spacegroup": "Imm2",
  "lattice": [[-1.674, 2.850, 4.978], [1.674, -2.850, 4.978], [1.674, 2.850, -4.978]],
  "species": ["Ca", "W", "W", "Br"],
  "frac_coords": [[0.000, 0.000, 0.000], [0.335, 0.835, 0.500], [0.511, 0.511, 0.000], [0.740, 0.240, 0.500]]
}


(14)
{
  "formula": "CaW2Br",
  "functional": "PBE",
  "state": "optimized geometry",
  "relative_energy_ev_per_atom": 0.552,
  "spacegroup": "I-42d",
  "lattice": [[-1.903, 1.903, 12.454], [1.903, -1.903, 12.454], [1.903, 1.903, -12.454]],
  "species": ["Ca", "Ca", "W", "W", "W", "W", "Br", "Br"],
  "frac_coords": [[0.000, 0.000, 0.000], [0.750, 0.250, 0.500], [0.096, 0.125, 0.471], [0.375, 0.904, 0.029], [0.654, 0.625, 0.529], [0.875, 0.346, 0.971], [0.250, 0.750, 0.500], [0.500, 0.500, 0.000]]
}


(15)
{
  "formula": "Ca2WBr2",
  "functional": "PBE",
  "state": "optimized geometry",
  "relative_energy_ev_per_atom": 0.040,
  "spacegroup": "I4/mmm",
  "lattice": [[-2.380, 2.380, 7.095], [2.380, -2.380, 7.095], [2.380, 2.380, -7.095]],
  "species": ["Ca", "Ca", "W", "Br", "Br"],
  "frac_coords": [[0.126, 0.126, 0.000], [0.874, 0.874, 0.000], [0.500, 0.500, 0.000], [0.250, 0.750, 0.500], [0.750, 0.250, 0.500]]
}


(16)
{
  "formula": "CaW2Br",
  "functional": "PBE",
  "state": "optimized geometry",
  "relative_energy_ev_per_atom": 0.428,
  "spacegroup": "P2/m",
  "lattice": [[3.335, 0.000, 0.000], [0.000, 5.963, 0.000], [-0.133, 0.000, 4.550]],
  "species": ["Ca", "W", "W", "Br"],
  "frac_coords": [[0.000, 0.000, 0.000], [0.264, 0.500, 0.195], [0.736, 0.500, 0.805], [0.500, 0.000, 0.500]]
}


(17)
{
  "formula": "CaW2Br",
  "functional": "PBE",
  "state": "optimized geometry",
  "relative_energy_ev_per_atom": 0.968,
  "spacegroup": "Cmmm",
  "lattice": [[2.661, -5.176, 0.000], [2.661, 5.176, 0.000], [0.000, 0.000, 2.940]],
  "species": ["Ca", "W", "W", "Br"],
  "frac_coords": [[0.000, 0.000, 0.000], [0.000, 0.500, 0.500], [0.500, 0.000, 0.500], [0.500, 0.500, 0.000]]
}


(18)
{
  "formula": "Ca2WBr2",
  "functional": "PBE",
  "state": "optimized geometry",
  "relative_energy_ev_per_atom": 0.128,
  "spacegroup": "P4/mbm",
  "lattice": [[8.771, 0.000, 0.000], [0.000, 8.771, 0.000], [0.000, 0.000, 3.446]],
  "species": ["Ca", "Ca", "Ca", "Ca", "W", "W", "Br", "Br", "Br", "Br"],
  "frac_coords": [[0.172, 0.328, 0.000], [0.328, 0.828, 0.000], [0.672, 0.172, 0.000], [0.828, 0.672, 0.000], [0.000, 0.000, 0.000], [0.500, 0.500, 0.000], [0.131, 0.631, 0.500], [0.369, 0.131, 0.500], [0.631, 0.869, 0.500], [0.869, 0.369, 0.500]]
}


(19)
{
  "formula": "CaW2Br",
  "functional": "PBE",
  "state": "optimized geometry",
  "relative_energy_ev_per_atom": 0.965,
  "spacegroup": "R-3m",
  "lattice": [[1.513, 0.874, 9.774], [-1.513, 0.874, 9.774], [0.000, -1.747, 9.774]],
  "species": ["Ca", "W", "W", "Br"],
  "frac_coords": [[0.000, 0.000, 0.000], [0.242, 0.242, 0.242], [0.758, 0.758, 0.758], [0.500, 0.500, 0.500]]
}


(20)
{
  "formula": "CaW2Br",
  "functional": "PBE",
  "state": "optimized geometry",
  "relative_energy_ev_per_atom": 1.065,
  "spacegroup": "Cmmm",
  "lattice": [[1.682, -2.385, 0.000], [1.682, 2.385, 0.000], [0.000, 0.000, 9.782]],
  "species": ["Ca", "W", "W", "Br"],
  "frac_coords": [[0.000, 0.000, 0.000], [0.500, 0.500, 0.270], [0.500, 0.500, 0.730], [0.000, 0.000, 0.500]]
}


(21)
{
  "formula": "CaWBr",
  "functional": "PBE",
  "state": "optimized geometry",
  "relative_energy_ev_per_atom": 0.000,
  "spacegroup": "P3m1",
  "lattice": [[3.275, 0.000, 0.000], [-1.637, 2.836, 0.000], [0.000, 0.000, 7.007]],
  "species": ["Ca", "W", "Br"],
  "frac_coords": [[0.000, 0.000, 0.000], [0.667, 0.333, 0.345], [0.333, 0.667, 0.644]]
}


(22)
{
  "formula": "Ca2WBr2",
  "functional": "PBE",
  "state": "optimized geometry",
  "relative_energy_ev_per_atom": 0.045,
  "spacegroup": "I4/mmm",
  "lattice": [[-2.920, 2.920, 4.125], [2.920, -2.920, 4.125], [2.920, 2.920, -4.125]],
  "species": ["Ca", "Ca", "W", "Br", "Br"],
  "frac_coords": [[0.250, 0.750, 0.500], [0.750, 0.250, 0.500], [0.000, 0.000, 0.000], [0.306, 0.306, 0.000], [0.694, 0.694, 0.000]]
}


(23)
{
  "formula": "Ca4WBr",
  "functional": "PBE",
  "state": "optimized geometry",
  "spacegroup": "F-43m",
  "lattice": [[0.000, 4.716, 4.716], [4.716, 0.000, 4.716], [4.716, 4.716, 0.000]],
  "species": ["Ca", "Ca", "Ca", "Ca", "W", "Br"],
  "frac_coords": [[0.123, 0.123, 0.123], [0.123, 0.123, 0.630], [0.123, 0.630, 0.123], [0.630, 0.123, 0.123], [0.750, 0.750, 0.750], [0.500, 0.500, 0.500]]
}


(24)
{
  "formula": "Ca3WBr",
  "functional": "PBE",
  "state": "optimized geometry",
  "relative_energy_ev_per_atom": 0.000,
  "spacegroup": "Pm-3m",
  "lattice": [[5.546, 0.000, 0.000], [0.000, 5.546, 0.000], [0.000, 0.000, 5.546]],
  "species": ["Ca", "Ca", "Ca", "W", "Br"],
  "frac_coords": [[0.000, 0.000, 0.500], [0.000, 0.500, 0.000], [0.500, 0.000, 0.000], [0.000, 0.000, 0.000], [0.500, 0.500, 0.500]]
}


(25)
{
  "formula": "CaW2Br",
  "functional": "PBE",
  "state": "optimized geometry",
  "relative_energy_ev_per_atom": 0.603,
  "spacegroup": "I4/mmm",
  "lattice": [[-1.889, 1.889, 5.963], [1.889, -1.889, 5.963], [1.889, 1.889, -5.963]],
  "species": ["Ca", "W", "W", "Br"],
  "frac_coords": [[0.000, 0.000, 0.000], [0.250, 0.750, 0.500], [0.750, 0.250, 0.500], [0.500, 0.500, 0.000]]
}


(26)
{
  "formula": "Ca2WBr2",
  "functional": "PBE",
  "state": "optimized geometry",
  "relative_energy_ev_per_atom": 0.000,
  "spacegroup": "P4/mbm",
  "lattice": [[8.347, 0.000, 0.000], [0.000, 8.347, 0.000], [0.000, 0.000, 3.420]],
  "species": ["Ca", "Ca", "Ca", "Ca", "W", "W", "Br", "Br", "Br", "Br"],
  "frac_coords": [[0.171, 0.329, 0.000], [0.329, 0.829, 0.000], [0.671, 0.171, 0.000], [0.829, 0.671, 0.000], [0.000, 0.000, 0.500], [0.500, 0.500, 0.500], [0.136, 0.636, 0.500], [0.364, 0.136, 0.500], [0.636, 0.864, 0.500], [0.864, 0.364, 0.500]]
}


(27)
{
  "formula": "CaW2Br",
  "functional": "PBE",
  "state": "optimized geometry",
  "relative_energy_ev_per_atom": 0.110,
  "spacegroup": "Cm",
  "lattice": [[2.984, -1.699, 0.000], [2.984, 1.699, 0.000], [-2.913, 0.000, 9.008]],
  "species": ["Ca", "W", "W", "Br"],
  "frac_coords": [[0.000, 0.000, 0.000], [0.482, 0.482, 0.299], [0.898, 0.898, 0.471], [0.555, 0.555, 0.761]]
}


(28)
{
  "formula": "CaW2Br",
  "functional": "PBE",
  "state": "optimized geometry",
  "relative_energy_ev_per_atom": 0.045,
  "spacegroup": "P4mm",
  "lattice": [[3.353, 0.000, 0.000], [0.000, 3.353, 0.000], [0.000, 0.000, 8.909]],
  "species": ["Ca", "W", "W", "Br"],
  "frac_coords": [[0.000, 0.000, 0.000], [0.000, 0.000, 0.391], [0.500, 0.500, 0.273], [0.500, 0.500, 0.803]]
}


Number 1: spin magnetization 0.0 μB per cell, E_form (uncorrected) -1153 meV/atom. Number 2: spin magnetization 0.2 μB per cell, E_form (uncorrected) -616 meV/atom. Number 3: spin magnetization 1.0 μB per cell, E_form (uncorrected) -1544 meV/atom. Number 4: spin magnetization 4.1 μB per cell, E_form (uncorrected) -655 meV/atom. Number 5: spin magnetization 2.0 μB per cell, E_form (uncorrected) -1558 meV/atom. Number 6: spin magnetization 8.5 μB per cell, E_form (uncorrected) 998 meV/atom. Number 7: spin magnetization 0.0 μB per cell, E_form (uncorrected) 595 meV/atom. Number 8: spin magnetization 3.0 μB per cell, E_form (uncorrected) -1405 meV/atom. Number 9: spin magnetization 9.9 μB per cell, E_form (uncorrected) 98 meV/atom. Number 10: spin magnetization 5.5 μB per cell, E_form (uncorrected) 155 meV/atom. Number 11: spin magnetization 0.0 μB per cell, E_form (uncorrected) 467 meV/atom. Number 12: spin magnetization 0.0 μB per cell, E_form (uncorrected) 168 meV/atom. Number 13: spin magnetization 0.8 μB per cell, E_form (uncorrected) 807 meV/atom. Number 14: spin magnetization 0.0 μB per cell, E_form (uncorrected) 721 meV/atom. Number 15: spin magnetization 4.7 μB per cell, E_form (uncorrected) 73 meV/atom. Number 16: spin magnetization 0.0 μB per cell, E_form (uncorrected) 597 meV/atom. Number 17: spin magnetization 0.0 μB per cell, E_form (uncorrected) 1136 meV/atom. Number 18: spin magnetization 6.4 μB per cell, E_form (uncorrected) 161 meV/atom. Number 19: spin magnetization 0.0 μB per cell, E_form (uncorrected) 1134 meV/atom. Number 20: spin magnetization 0.0 μB per cell, E_form (uncorrected) 1233 meV/atom. Number 21: spin magnetization 0.0 μB per cell, E_form (uncorrected) 633 meV/atom. Number 22: spin magnetization 2.0 μB per cell, E_form (uncorrected) 78 meV/atom. Number 23: spin magnetization 3.9 μB per cell, E_form (uncorrected) 914 meV/atom. Number 24: spin magnetization 0.0 μB per cell, E_form (uncorrected) 634 meV/atom. Number 25: spin magnetization 0.0 μB per cell, E_form (uncorrected) 771 meV/atom. Number 26: spin magnetization 2.4 μB per cell, E_form (uncorrected) 33 meV/atom. Number 27: spin magnetization 0.0 μB per cell, E_form (uncorrected) 278 meV/atom. Number 28: spin magnetization 0.0 μB per cell, E_form (uncorrected) 213 meV/atom.